DFT (GGA-PBEsol) results for a relaxed structure of Tc2BMoSe.

Cell lengths 4.0416, 4.0416, 4.3354 Å; angles 90.00, 90.00, 90.00 degrees
Last column: nearest neighbours and their distance in Å.
Fractional positions:
Tc: 0.0000 0.5000 0.0000  2 B 2.02
Tc: 0.5000 0.0000 0.0000  2 B 2.02
B: 0.0000 0.0000 0.0000  4 Tc 2.02, 2 Se 2.17
Mo: 0.5000 0.5000 0.5000  4 Se 2.86, 8 Tc 2.96
Se: 0.0000 0.0000 0.5000  2 B 2.17

Computed properties:
Its space-group type is No. 123. The uncorrected formation energy is 0.8927 eV/atom. The value obtained for the total energy is -8.141 eV per atom. The total magnetization is 1.4 μB/cell.